Computed, not measured: an optimized crystal structure of PrBeIn at the PBE level of DFT.

The space group is F-43m (No. 216) and the conventional cell measures 6.5807, 6.5807 and 6.5807 Å, with angles of 90.00, 90.00 and 90.00 degrees. The inequivalent atoms are Pr at (0.0000, 0.0000, 0.0000), Be at (0.2500, 0.2500, 0.7500) and In at (0.0000, 0.0000, 0.5000).

As for the total energy: -3.933 eV per atom. For the energy of formation, the calculation gives -0.19 eV per atom. For the polymorph energy (0 for the lowest one), the calculation gives 0.045 eV per formula unit. The density is 6.17 g/cm3. The density of states at the Fermi level is 3.80 states/eV per cell.


Computed, not measured: an optimized crystal structure of PrBeIn at the PBE level of DFT.

The space group is Pnma (No. 62) and the conventional cell measures 7.6984, 4.6422 and 7.5822 Å, with angles of 90.00, 90.00 and 90.00 degrees. The inequivalent atoms are Pr at (0.0139, 0.2500, 0.2082), Be at (0.1853, 0.7500, 0.4200) and In at (0.1951, 0.2500, 0.5939).

As for the total energy: -3.948 eV per atom. For the energy of formation, the calculation gives -0.20 eV per atom. For the polymorph energy (0 for the lowest one), the calculation gives 0.000 eV per formula unit. The density is 6.49 g/cm3. The density of states at the Fermi level is 4.70 states/eV per cell.


Computed, not measured: an optimized crystal structure of Pr2BeInPt6 at the PBE level of DFT.

The space group is C2/m (No. 12) and the conventional cell measures 10.0937, 5.8297 and 7.5934 Å, with angles of 90.00, 116.26 and 90.00 degrees. The inequivalent atoms are Pr at (0.2240, 0.0000, 0.1715), Be at (0.0000, 0.0000, 0.5000), In at (0.0000, 0.5000, 0.0000), Pt at (0.0247, 0.2599, 0.3135) and Pt at (0.2352, 0.0000, 0.6877).

As for the total energy: -5.970 eV per atom. For the energy of formation, the calculation gives -0.74 eV per atom. The density is 13.06 g/cm3. The density of states at the Fermi level is 5.61 states/eV per cell.


Computed, not measured: an optimized crystal structure of BeIn2Pt at the PBE level of DFT.

The space group is C2/m (No. 12) and the conventional cell measures 5.5437, 6.9592 and 3.7137 Å, with angles of 90.00, 90.16 and 90.00 degrees. The inequivalent atoms are Be at (0.0000, 0.0000, 0.0000), In at (0.2500, 0.2500, 0.5000) and Pt at (0.0000, 0.5000, 0.0000).

As for the total energy: -3.730 eV per atom. For the energy of formation, the calculation gives 0.08 eV per atom. The density is 10.05 g/cm3. The density of states at the Fermi level is 2.73 states/eV per cell.


Computed, not measured: an optimized crystal structure of BeInPt2 at the PBE level of DFT.

The space group is P2/m (No. 10) and the conventional cell measures 2.8907, 2.8850 and 7.1085 Å, with angles of 90.00, 92.00 and 90.00 degrees. The inequivalent atoms are Be at (0.0000, 0.0000, 0.0000), In at (0.0000, 0.0000, 0.5000) and Pt at (0.4771, 0.5000, 0.7996).

As for the total energy: -5.163 eV per atom. For the energy of formation, the calculation gives -0.53 eV per atom. For the polymorph energy (0 for the lowest one), the calculation gives 0.000 eV per formula unit. The density is 14.41 g/cm3. The density of states at the Fermi level is 0.61 states/eV per cell.


Computed, not measured: an optimized crystal structure of BeInPt2 at the PBE level of DFT.

The space group is F-43m (No. 216) and the conventional cell measures 6.3047, 6.3047 and 6.3047 Å, with angles of 90.00, 90.00 and 90.00 degrees. The inequivalent atoms are Be at (0.0000, 0.0000, 0.0000), In at (0.2500, 0.2500, 0.7500), Pt at (0.0000, 0.0000, 0.5000) and Pt at (0.2500, 0.2500, 0.2500).

As for the total energy: -4.774 eV per atom. For the energy of formation, the calculation gives -0.14 eV per atom. For the polymorph energy (0 for the lowest one), the calculation gives 1.558 eV per formula unit. The density is 13.62 g/cm3. The density of states at the Fermi level is 4.64 states/eV per cell.


Computed, not measured: an optimized crystal structure of BeIn2Pt at the PBE level of DFT.

The space group is I4/mmm (No. 139) and the conventional cell measures 4.2126, 4.2126 and 7.9164 Å, with angles of 90.00, 90.00 and 90.00 degrees. The inequivalent atoms are Be at (0.0000, 0.0000, 0.0000), In at (0.0000, 0.5000, 0.2500) and Pt at (0.0000, 0.0000, 0.5000).

As for the total energy: -3.699 eV per atom. For the energy of formation, the calculation gives 0.11 eV per atom. The density is 10.25 g/cm3. The density of states at the Fermi level is 5.14 states/eV per cell.


Computed, not measured: an optimized crystal structure of BeIn2Pt at the PBE level of DFT.

The space group is Pmmm (No. 47) and the conventional cell measures 3.4154, 3.7143 and 5.5611 Å, with angles of 90.00, 90.00 and 90.00 degrees. The inequivalent atoms are Be at (0.0000, 0.0000, 0.0000), In at (0.5000, 0.5000, 0.2468) and Pt at (0.0000, 0.0000, 0.5000).

As for the total energy: -3.757 eV per atom. For the energy of formation, the calculation gives 0.05 eV per atom. The density is 10.21 g/cm3. The density of states at the Fermi level is 1.14 states/eV per cell.


Computed, not measured: an optimized crystal structure of Be2InPt2 at the PBE level of DFT.

The space group is P4/mbm (No. 127) and the conventional cell measures 7.0996, 7.0996 and 2.8051 Å, with angles of 90.00, 90.00 and 90.00 degrees. The inequivalent atoms are Be at (0.1416, 0.3584, 0.0000), In at (0.0000, 0.0000, 0.5000) and Pt at (0.1463, 0.6463, 0.5000).

As for the total energy: -4.902 eV per atom. For the energy of formation, the calculation gives -0.45 eV per atom. For the polymorph energy (0 for the lowest one), the calculation gives 0.322 eV per formula unit. The density is 12.29 g/cm3. The density of states at the Fermi level is 1.95 states/eV per cell.


Computed, not measured: an optimized crystal structure of BeIn2Pt at the PBE level of DFT.

The space group is Pm (No. 6) and the conventional cell measures 4.0372, 3.8269 and 5.1881 Å, with angles of 90.00, 112.53 and 90.00 degrees. The inequivalent atoms are Be at (0.0000, 0.0000, 0.0000), In at (0.4243, 0.5000, 0.8406), In at (0.7218, 0.0000, 0.4416) and Pt at (0.1294, 0.5000, 0.2540).

As for the total energy: -4.035 eV per atom. For the energy of formation, the calculation gives -0.22 eV per atom. The density is 9.73 g/cm3. The density of states at the Fermi level is 1.41 states/eV per cell.


Computed, not measured: an optimized crystal structure of BeIn2Pt at the PBE level of DFT.

The space group is I-42d (No. 122) and the conventional cell measures 4.1727, 4.1727 and 18.1651 Å, with angles of 90.00, 90.00 and 90.00 degrees. The inequivalent atoms are Be at (0.0000, 0.0000, 0.0000), In at (0.2411, 0.2500, 0.1250) and Pt at (0.0000, 0.0000, 0.5000).

As for the total energy: -3.588 eV per atom. For the energy of formation, the calculation gives 0.22 eV per atom. The density is 9.11 g/cm3. The density of states at the Fermi level is 7.98 states/eV per cell.


Computed, not measured: an optimized crystal structure of BeInPt2 at the PBE level of DFT.

The space group is Pmm2 (No. 25) and the conventional cell measures 2.8702, 3.6311 and 6.1723 Å, with angles of 90.00, 90.00 and 90.00 degrees. The inequivalent atoms are Be at (0.0000, 0.0000, 0.0000), In at (0.5000, 0.5000, 0.3707), Pt at (0.0000, 0.0000, 0.6195) and Pt at (0.5000, 0.5000, 0.9281).

As for the total energy: -5.024 eV per atom. For the energy of formation, the calculation gives -0.39 eV per atom. For the polymorph energy (0 for the lowest one), the calculation gives 0.557 eV per formula unit. The density is 13.27 g/cm3. The density of states at the Fermi level is 0.98 states/eV per cell.


Computed, not measured: an optimized crystal structure of Be3InPt at the PBE level of DFT.

The space group is Pm-3m (No. 221) and the conventional cell measures 4.3872, 4.3872 and 4.3872 Å, with angles of 90.00, 90.00 and 90.00 degrees. The inequivalent atoms are Be at (0.0000, 0.0000, 0.5000), In at (0.0000, 0.0000, 0.0000) and Pt at (0.5000, 0.5000, 0.5000).

As for the total energy: -2.747 eV per atom. For the energy of formation, the calculation gives 1.24 eV per atom. For the polymorph energy (0 for the lowest one), the calculation gives 5.473 eV per formula unit. The density is 6.63 g/cm3. The density of states at the Fermi level is 1.19 states/eV per cell.


Computed, not measured: an optimized crystal structure of BeInPt2 at the PBE level of DFT.

The space group is Cm (No. 8) and the conventional cell measures 9.5641, 2.9567 and 4.6494 Å, with angles of 90.00, 108.68 and 90.00 degrees. The inequivalent atoms are Be at (0.0000, 0.0000, 0.0000), In at (0.2461, 0.5000, 0.4149), Pt at (0.0119, 0.5000, 0.6141) and Pt at (0.3030, 0.0000, 0.9651).

As for the total energy: -4.990 eV per atom. For the energy of formation, the calculation gives -0.35 eV per atom. For the polymorph energy (0 for the lowest one), the calculation gives 0.695 eV per formula unit. The density is 13.71 g/cm3. The density of states at the Fermi level is 3.01 states/eV per cell.


Computed, not measured: an optimized crystal structure of BeInPt2 at the PBE level of DFT.

The space group is Pm (No. 6) and the conventional cell measures 2.9295, 4.3223 and 5.2438 Å, with angles of 90.00, 106.18 and 90.00 degrees. The inequivalent atoms are Be at (0.0000, 0.0000, 0.0000), In at (0.6806, 0.5000, 0.3518), Pt at (0.3078, 0.0000, 0.6073) and Pt at (0.9518, 0.5000, 0.8929).

As for the total energy: -4.963 eV per atom. For the energy of formation, the calculation gives -0.33 eV per atom. For the polymorph energy (0 for the lowest one), the calculation gives 0.802 eV per formula unit. The density is 13.38 g/cm3. The density of states at the Fermi level is 1.16 states/eV per cell.


Computed, not measured: an optimized crystal structure of BeIn2Pt at the PBE level of DFT.

The space group is Pmm2 (No. 25) and the conventional cell measures 2.9415, 3.1787 and 8.1973 Å, with angles of 90.00, 90.00 and 90.00 degrees. The inequivalent atoms are Be at (0.0000, 0.0000, 0.0000), In at (0.0000, 0.0000, 0.3763), In at (0.5000, 0.5000, 0.7396) and Pt at (0.5000, 0.5000, 0.1068).

As for the total energy: -3.973 eV per atom. For the energy of formation, the calculation gives -0.16 eV per atom. The density is 9.40 g/cm3. The density of states at the Fermi level is 1.87 states/eV per cell.


Computed, not measured: an optimized crystal structure of BeInPt at the PBE level of DFT.

The space group is P3m1 (No. 156) and the conventional cell measures 3.0398, 3.0398 and 6.0896 Å, with angles of 90.00, 90.00 and 120.00 degrees. The inequivalent atoms are Be at (0.0000, 0.0000, 0.0000), In at (0.3333, 0.6667, 0.3605) and Pt at (0.6667, 0.3333, 0.7524).

As for the total energy: -4.220 eV per atom. For the energy of formation, the calculation gives -0.05 eV per atom. For the polymorph energy (0 for the lowest one), the calculation gives 0.760 eV per formula unit. The density is 10.87 g/cm3. The density of states at the Fermi level is 1.37 states/eV per cell.


Computed, not measured: an optimized crystal structure of BeIn2Pt at the PBE level of DFT.

The space group is R-3m (No. 166, hexagonal axes) and the conventional cell measures 3.1608, 3.1608 and 25.1431 Å, with angles of 90.00, 90.00 and 120.00 degrees. The inequivalent atoms are Be at (0.0000, 0.0000, 0.0000), In at (0.0000, 0.0000, 0.2529) and Pt at (0.0000, 0.0000, 0.5000).

As for the total energy: -3.641 eV per atom. For the energy of formation, the calculation gives 0.17 eV per atom. The density is 9.93 g/cm3. The density of states at the Fermi level is 6.61 states/eV per cell.


Computed, not measured: an optimized crystal structure of BeInPt2 at the PBE level of DFT.

The space group is I-42d (No. 122) and the conventional cell measures 4.6937, 4.6937 and 14.2572 Å, with angles of 90.00, 90.00 and 90.00 degrees. The inequivalent atoms are Be at (0.0000, 0.0000, 0.0000), In at (0.0000, 0.0000, 0.5000) and Pt at (0.1381, 0.2500, 0.1250).

As for the total energy: -4.703 eV per atom. For the energy of formation, the calculation gives -0.07 eV per atom. For the polymorph energy (0 for the lowest one), the calculation gives 1.841 eV per formula unit. The density is 10.87 g/cm3. The density of states at the Fermi level is 7.18 states/eV per cell.


Computed, not measured: an optimized crystal structure of BeIn2Pt at the PBE level of DFT.

The space group is Imm2 (No. 44) and the conventional cell measures 2.9768, 4.3242 and 11.5780 Å, with angles of 90.00, 90.00 and 90.00 degrees. The inequivalent atoms are Be at (0.0000, 0.0000, 0.0000), In at (0.0000, 0.0000, 0.5330), In at (0.0000, 0.5000, 0.7461) and Pt at (0.0000, 0.5000, 0.3493).

As for the total energy: -3.901 eV per atom. For the energy of formation, the calculation gives -0.09 eV per atom. The density is 9.67 g/cm3. The density of states at the Fermi level is 2.81 states/eV per cell.


Number 1: magnetic moment 0.00 μB per cell. Number 2: magnetic moment 0.00 μB per cell. Number 3: magnetic moment 0.00 μB per cell. Number 4: magnetic moment 0.00 μB per cell. Number 5: magnetic moment 0.00 μB per cell. Number 6: magnetic moment 0.00 μB per cell. Number 7: magnetic moment 0.00 μB per cell. Number 8: magnetic moment 0.00 μB per cell. Number 9: magnetic moment 0.00 μB per cell. Number 10: magnetic moment 0.00 μB per cell. Number 11: magnetic moment 0.00 μB per cell. Number 12: magnetic moment 0.00 μB per cell. Number 13: magnetic moment 0.00 μB per cell. Number 14: magnetic moment 0.00 μB per cell. Number 15: magnetic moment 0.00 μB per cell. Number 16: magnetic moment 0.00 μB per cell. Number 17: magnetic moment 0.00 μB per cell. Number 18: magnetic moment 0.00 μB per cell. Number 19: magnetic moment 0.00 μB per cell. Number 20: magnetic moment 0.00 μB per cell.